(1)
Density functional theory data (PBE) for a geometry-optimized SmTmSb structure.

Cell lengths 5.0893, 5.0893, 5.0893 Å; angles 60.00, 60.00, 60.00 degrees
Fractional coordinates of all 3 atoms:
Sm 0.0000 0.0000 0.0000
Tm 0.5000 0.5000 0.5000
Sb 0.2500 0.2500 0.2500

Calculated values
calculated density = 7.857 g/cm3
space group = F-43m
distance to the lowest polymorph of the same formula = 0 meV/atom

(2)
Density functional theory data (PBE) for a geometry-optimized SmTmZr2Sb2 structure.

Cell lengths 8.8794, 8.8794, 8.8794 Å; angles 152.08, 152.08, 39.89 degrees
Fractional coordinates of all 6 atoms:
Sm 0.0000 0.0000 0.0000
Tm 0.3539 0.3539 0.0000
Zr 0.1793 0.6793 0.5000
Zr 0.6793 0.1793 0.5000
Sb 0.5466 0.5466 0.0000
Sb 0.8111 0.8111 0.0000

Calculated values
uncorrected energy = -39.254 eV per cell
calculated density = 8.080 g/cm3
space group = I4mm

(3)
Density functional theory data (PBE) for a geometry-optimized Sm3YSb4 structure.

Cell lengths 6.2927, 6.2927, 6.2927 Å; angles 90.00, 90.00, 90.00 degrees
Fractional coordinates of all 8 atoms:
Sm 0.0000 0.0000 0.5000
Sm 0.0000 0.5000 0.0000
Sm 0.5000 0.0000 0.0000
Y 0.5000 0.5000 0.5000
Sb 0.0000 0.0000 0.0000
Sb 0.0000 0.5000 0.5000
Sb 0.5000 0.0000 0.5000
Sb 0.5000 0.5000 0.0000

Calculated values
uncorrected energy = -46.474 eV per cell
calculated density = 6.844 g/cm3
space group = Pm-3m